VASP calculation (SCAN) on La2TcPb at its PBEsol-relaxed geometry.

* ΔE_f: 0.4 eV/f.u.

a = 3.5548 Å, b = 3.5548 Å, c = 7.5890 Å
α = 90.00°, β = 90.00°, γ = 90.00°
Last column: nearest neighbours and their distance in Å.
Fractional coordinates of all 4 atoms:
Tc: 0.5000 0.5000 0.7450  4 Pb 2.94, 4 La 3.01
La: 0.0000 0.0000 0.9634  4 Tc 3.01, 1 Pb 3.18, 4 La 3.31
La: 0.5000 0.5000 0.2474  8 La 3.31-3.55, 4 Pb 3.38
Pb: 0.0000 0.0000 0.5442  4 Tc 2.94, 1 La 3.18



VASP calculation (SCAN) on LaTcPb2 at its PBEsol-relaxed geometry.

* ΔE_f: 0.7 eV/f.u.

a = 4.5419 Å, b = 4.5419 Å, c = 5.7679 Å
α = 113.19°, β = 113.19°, γ = 90.00°
Last column: nearest neighbours and their distance in Å.
Fractional coordinates of all 4 atoms:
Pb: 0.0000 0.0000 0.0000  4 Tc 3.21, 4 La 3.30, 4 Pb 3.30
Pb: 0.7500 0.2500 0.5000  4 La 3.21, 4 Pb 3.30, 4 Tc 3.30
La: 0.2500 0.7500 0.5000  8 Pb 3.21-3.30, 4 Tc 3.30
Tc: 0.5000 0.5000 0.0000  8 Pb 3.21-3.30, 4 La 3.30



VASP calculation (SCAN) on La4TePb at its PBEsol-relaxed geometry.

* ΔE_f (raw): -1.83 eV/f.u.

a = 6.3790 Å, b = 6.3790 Å, c = 6.3790 Å
α = 60.00°, β = 60.00°, γ = 60.00°
Last column: nearest neighbours and their distance in Å.
Fractional coordinates of all 6 atoms:
Pb: 0.7500 0.7500 0.7500  12 La 3.74, 4 Te 3.91
La: 0.3757 0.3757 0.3757  6 La 3.17-3.21
La: 0.3757 0.3757 0.8728  6 La 3.17-3.21
La: 0.8728 0.3757 0.3757  6 La 3.17-3.21
La: 0.3757 0.8728 0.3757  6 La 3.17-3.21
Te: 0.0000 0.0000 0.0000  12 La 3.74, 4 Pb 3.91



VASP calculation (SCAN) on La2TePb at its PBEsol-relaxed geometry.

* ΔE_f (raw): -4.80 eV/f.u.

a = 3.7702 Å, b = 3.7702 Å, c = 8.3770 Å
α = 90.00°, β = 90.00°, γ = 90.00°
Last column: nearest neighbours and their distance in Å.
Fractional coordinates of all 4 atoms:
La: 0.0000 0.0000 0.2613  4 Te 3.33, 4 Pb 3.45
La: 0.0000 0.0000 0.7387  4 Te 3.33, 4 Pb 3.45
Te: 0.5000 0.5000 0.5000  8 La 3.33
Pb: 0.5000 0.5000 0.0000  8 La 3.45, 4 Pb 3.77



VASP calculation (SCAN) on La2TePb at its PBEsol-relaxed geometry.

* ΔE_f (raw): -5.61 eV/f.u.

a = 4.5686 Å, b = 4.5686 Å, c = 6.4467 Å
α = 90.00°, β = 90.00°, γ = 90.00°
Last column: nearest neighbours and their distance in Å.
Fractional coordinates of all 4 atoms:
Pb: 0.5000 0.5000 0.0000  6 La 3.22-3.23
La: 0.0000 0.0000 0.0000  2 Te 3.22, 4 Pb 3.23
La: 0.5000 0.5000 0.5000  2 Pb 3.22, 4 Te 3.23
Te: 0.0000 0.0000 0.5000  6 La 3.22-3.23



VASP calculation (SCAN) on La2TePb at its PBEsol-relaxed geometry.

* ΔE_f (raw): -4.53 eV/f.u.

a = 5.0198 Å, b = 5.6654 Å, c = 5.6654 Å
α = 62.47°, β = 63.70°, γ = 63.70°
Last column: nearest neighbours and their distance in Å.
Fractional coordinates of all 4 atoms:
Te: 0.5000 0.0000 0.0000  8 La 3.24-3.61
Pb: 0.0000 0.5000 0.5000  8 La 3.27-3.58
La: 0.2472 0.7528 0.7528  4 Te 3.24-3.61, 4 Pb 3.27-3.58
La: 0.7528 0.2472 0.2472  4 Te 3.24-3.61, 4 Pb 3.27-3.58



VASP calculation (SCAN) on LaTePb2 at its PBEsol-relaxed geometry.

* ΔE_f (raw): -2.99 eV/f.u.

a = 4.6162 Å, b = 4.6162 Å, c = 6.7038 Å
α = 109.40°, β = 109.40°, γ = 92.01°
Last column: nearest neighbours and their distance in Å.
Fractional coordinates of all 4 atoms:
La: 0.5000 0.5000 0.0000  4 Te 3.21-3.32, 4 Pb 3.38
Pb: 0.0000 0.5000 0.5000  4 Pb 3.21-3.32, 2 Te 3.38, 2 La 3.38
Pb: 0.5000 0.0000 0.5000  4 Pb 3.21-3.32, 2 La 3.38, 2 Te 3.38
Te: 0.0000 0.0000 0.0000  4 La 3.21-3.32, 4 Pb 3.38



VASP calculation (SCAN) on La2TePb at its PBEsol-relaxed geometry.

* ΔE_f (raw): -5.55 eV/f.u.

a = 4.5881 Å, b = 4.5881 Å, c = 7.8916 Å
α = 73.10°, β = 73.10°, γ = 60.00°
Last column: nearest neighbours and their distance in Å.
Fractional coordinates of all 4 atoms:
La: 0.7485 0.7485 0.7545  3 Pb 3.22, 3 Te 3.26
La: 0.2515 0.2515 0.2455  3 Pb 3.22, 3 Te 3.26
Te: 0.5000 0.5000 0.5000  6 La 3.26
Pb: 0.0000 0.0000 0.0000  6 La 3.22



VASP calculation (SCAN) on La3TiPb at its PBEsol-relaxed geometry.

* ΔE_f: 2.2 eV/f.u.

a = 5.9950 Å, b = 5.9950 Å, c = 5.9950 Å
α = 90.00°, β = 90.00°, γ = 90.00°
Last column: nearest neighbours and their distance in Å.
Fractional coordinates of all 5 atoms:
La: 0.0000 0.0000 0.5000  2 Pb 3.00
La: 0.0000 0.5000 0.0000  2 Pb 3.00
La: 0.5000 0.0000 0.0000  2 Pb 3.00
Ti: 0.5000 0.5000 0.5000  12 La 4.24
Pb: 0.0000 0.0000 0.0000  6 La 3.00



VASP calculation (SCAN) on La2TlPb at its PBEsol-relaxed geometry.

* ΔE_f: -2.8 eV/f.u.

a = 4.4350 Å, b = 4.9232 Å, c = 6.3641 Å
α = 112.76°, β = 110.39°, γ = 90.00°
Last column: nearest neighbours and their distance in Å.
Fractional coordinates of all 4 atoms:
La: 0.0076 0.0076 0.0151  4 Pb 3.33, 4 La 3.56-3.62, 4 Tl 3.59
La: 0.2441 0.7441 0.4881  4 Tl 3.32, 4 La 3.56-3.62, 4 Pb 3.56-3.62
Pb: 0.4810 0.4810 0.9619  2 Tl 3.21, 6 La 3.33-3.56
Tl: 0.7674 0.2674 0.5348  2 Pb 3.21, 8 La 3.32-3.59



VASP calculation (SCAN) on LaTl2Pb2 at its PBEsol-relaxed geometry.

* ΔE_f: -0.8 eV/f.u.

a = 4.5757 Å, b = 4.5757 Å, c = 8.1105 Å
α = 106.38°, β = 106.38°, γ = 90.00°
Last column: nearest neighbours and their distance in Å.
Fractional coordinates of all 5 atoms:
Tl: 0.4023 0.4023 0.8046  1 Tl 2.91, 4 Pb 3.22
Tl: 0.5977 0.5977 0.1954  1 Tl 2.91, 4 Pb 3.22
Pb: 0.7500 0.2500 0.5000  4 Tl 3.22, 4 Pb 3.24
Pb: 0.2500 0.7500 0.5000  4 Tl 3.22, 4 Pb 3.24
La: 0.0000 0.0000 0.0000  8 Tl 3.55



VASP calculation (SCAN) on La2TlPb at its PBEsol-relaxed geometry.

* ΔE_f: -3.0 eV/f.u.

a = 4.5533 Å, b = 5.1010 Å, c = 5.1010 Å
α = 90.00°, β = 90.00°, γ = 90.00°
Last column: nearest neighbours and their distance in Å.
Fractional coordinates of all 4 atoms:
La: 0.0000 0.5000 0.0000  4 Pb 3.42, 4 Tl 3.42, 4 La 3.61
La: 0.0000 0.0000 0.5000  4 Pb 3.42, 4 Tl 3.42, 4 La 3.61
Pb: 0.5000 0.5000 0.5000  8 La 3.42, 4 Tl 3.61
Tl: 0.5000 0.0000 0.0000  8 La 3.42, 4 Pb 3.61



Please write out number 3 again, unchanged.
VASP calculation (SCAN) on La4TePb at its PBEsol-relaxed geometry.

* ΔE_f (raw): -1.83 eV/f.u.

a = 6.3790 Å, b = 6.3790 Å, c = 6.3790 Å
α = 60.00°, β = 60.00°, γ = 60.00°
Last column: nearest neighbours and their distance in Å.
Fractional coordinates of all 6 atoms:
Pb: 0.7500 0.7500 0.7500  12 La 3.74, 4 Te 3.91
La: 0.3757 0.3757 0.3757  6 La 3.17-3.21
La: 0.3757 0.3757 0.8728  6 La 3.17-3.21
La: 0.8728 0.3757 0.3757  6 La 3.17-3.21
La: 0.3757 0.8728 0.3757  6 La 3.17-3.21
Te: 0.0000 0.0000 0.0000  12 La 3.74, 4 Pb 3.91